Entry 1:
! LaRu3 PBE-GGA relaxed; values from VASP
&SYSTEM
  ibrav = 0, nat = 4, ntyp = 2
/
ATOMIC_SPECIES
La 138.91 La.upf
Ru 101.07 Ru.upf
CELL_PARAMETERS angstrom
2.9004 -4.0772 0.0000
2.9004 4.0772 0.0000
0.0000 0.0000 2.9164
ATOMIC_POSITIONS angstrom
La 0.0000 0.0000 0.0000
Ru 1.4502 2.0386 1.4582
Ru 1.4502 -2.0386 1.4582
Ru 2.9004 0.0000 0.0000
! **DFT formation energy**: 0.3880 eV per atom
! **N(E_F)**: 5.71 states/eV/f.u.
! **Space-group type**: Cmmm
! **Total magnetic moment**: 0.00 μB/f.u.

Entry 2:
! Pm4EuY PBE-GGA relaxed; values from VASP
&SYSTEM
  ibrav = 0, nat = 6, ntyp = 3
/
ATOMIC_SPECIES
Pm 145.00 Pm.upf
Eu 151.96 Eu.upf
Y 88.91 Y.upf
CELL_PARAMETERS angstrom
0.0000 4.7981 4.7981
4.7981 0.0000 4.7981
4.7981 4.7981 0.0000
ATOMIC_POSITIONS angstrom
Pm 1.1785 1.1785 1.1785
Pm 3.6196 3.6196 1.1785
Pm 3.6196 1.1785 3.6196
Pm 1.1785 3.6196 3.6196
Eu 4.7981 4.7981 4.7981
Y 7.1971 7.1971 7.1971
! **DFT formation energy**: 0.2193 eV per atom
! **N(E_F)**: 8.98 states/eV/f.u.
! **Space-group type**: F-43m
! **Total magnetic moment**: 7.23 μB/f.u.

Entry 3:
! Nd3Si2AgPt9 PBE-GGA relaxed; values from VASP
&SYSTEM
  ibrav = 0, nat = 15, ntyp = 4
/
ATOMIC_SPECIES
Nd 144.24 Nd.upf
Si 28.09 Si.upf
Ag 107.87 Ag.upf
Pt 195.08 Pt.upf
CELL_PARAMETERS angstrom
5.7280 0.0000 0.0000
-2.8640 4.9606 0.0000
0.0000 0.0000 11.0422
ATOMIC_POSITIONS angstrom
Nd 0.0000 0.0000 0.0000
Nd 0.0000 3.3071 6.5760
Nd 2.8640 1.6535 4.4661
Si 0.0000 3.3071 1.7555
Si 2.8640 1.6535 9.2867
Ag 0.0000 0.0000 5.5211
Pt -1.4320 2.4803 0.0000
Pt 0.0000 1.6030 3.3501
Pt -1.4758 4.1591 3.3501
Pt 1.3882 0.8015 7.6921
Pt 2.8640 0.0000 0.0000
Pt 1.4320 2.4803 0.0000
Pt 1.4758 4.1591 3.3501
Pt 4.3398 0.8015 7.6921
Pt 2.8640 3.3577 7.6921
! **E_form (uncorrected)**: -0.74 eV/atom
! **N(E_F)**: 4.23 states/eV/f.u.
! **Space-group type**: P-3m1
! **Total magnetic moment**: 0.00 μB/f.u.

Entry 4:
! KBa2Zr PBE-GGA relaxed; values from VASP
&SYSTEM
  ibrav = 0, nat = 4, ntyp = 3
/
ATOMIC_SPECIES
K 39.10 K.upf
Ba 137.33 Ba.upf
Zr 91.22 Zr.upf
CELL_PARAMETERS angstrom
-1.9553 3.3526 7.2085
1.9553 -3.3526 7.2085
1.9553 3.3526 -7.2085
ATOMIC_POSITIONS angstrom
K 0.0000 0.0000 0.0000
Ba 0.0000 0.0000 6.1785
Ba 0.0000 3.3526 3.1325
Zr 1.9553 0.0000 3.2371
! **DFT formation energy**: 0.6541 eV per atom
! **Distance to the lowest polymorph of the same formula**: 19.1 kJ/mol of atoms
! **N(E_F)**: 6.16 states/eV/f.u.
! **Space-group type**: Imm2
! **Total magnetic moment**: 1.51 μB/f.u.

Entry 5:
! CdAgIr2 PBE-GGA relaxed; values from VASP
&SYSTEM
  ibrav = 0, nat = 4, ntyp = 3
/
ATOMIC_SPECIES
Cd 112.41 Cd.upf
Ag 107.87 Ag.upf
Ir 192.22 Ir.upf
CELL_PARAMETERS angstrom
2.8429 0.0000 0.0000
0.0000 3.7999 0.0000
0.0000 0.0000 6.2619
ATOMIC_POSITIONS angstrom
Cd 0.0000 0.0000 0.0000
Ag 1.4215 1.8999 4.6162
Ir 0.0000 0.0000 2.9047
Ir 1.4215 1.8999 1.7648
! **DFT formation energy**: 0.2277 eV per atom
! **N(E_F)**: 3.81 states/eV/f.u.
! **Space-group type**: Pmm2
! **Total magnetic moment**: 0.00 μB/f.u.

Entry 6:
! YCoSi2Ir PBE-GGA relaxed; values from VASP
&SYSTEM
  ibrav = 0, nat = 5, ntyp = 4
/
ATOMIC_SPECIES
Y 88.91 Y.upf
Co 58.93 Co.upf
Si 28.09 Si.upf
Ir 192.22 Ir.upf
CELL_PARAMETERS angstrom
5.1705 0.0000 0.0000
0.0000 5.1705 0.0000
0.0000 0.0000 4.9648
ATOMIC_POSITIONS angstrom
Y 0.0000 0.0000 0.0000
Co 2.5853 2.5853 2.4824
Si 0.0000 2.5853 0.0000
Si 2.5853 0.0000 0.0000
Ir 0.0000 0.0000 2.4824
! **Distance to the lowest polymorph of the same formula**: 289.8 kJ/mol of atoms
! **E_form (uncorrected)**: 2.05 eV/atom
! **N(E_F)**: 8.60 states/eV/f.u.
! **Space-group type**: P4/mmm
! **Total magnetic moment**: 0.01 μB/f.u.

Entry 7:
! La2Pm4Nd PBE-GGA relaxed; values from VASP
&SYSTEM
  ibrav = 0, nat = 14, ntyp = 3
/
ATOMIC_SPECIES
La 138.91 La.upf
Pm 145.00 Pm.upf
Nd 144.24 Nd.upf
CELL_PARAMETERS angstrom
7.0485 0.0000 0.0000
2.0442 6.8251 0.0000
0.0005 0.0006 10.7000
ATOMIC_POSITIONS angstrom
La 0.0000 0.0000 0.0000
La 0.0003 0.0003 5.3500
La 1.0221 3.4125 0.0000
La 3.5243 0.0000 0.0000
Pm 3.3058 4.6983 8.3589
Pm 2.2995 1.2919 7.6443
Pm 3.3130 4.6947 2.3374
Pm 2.3075 1.2881 3.0610
Pm 6.7857 5.5375 7.6390
Pm 5.7802 2.1310 8.3627
Pm 6.7937 5.5338 3.0557
Pm 5.7874 2.1273 2.3412
Nd 1.0224 3.4128 5.3500
Nd 4.5466 3.4128 5.3500
! **DFT formation energy**: 0.1876 eV per atom
! **Distance to the lowest polymorph of the same formula**: 0.0 kJ/mol of atoms
! **N(E_F)**: 10.80 states/eV/f.u.
! **Space-group type**: P-1
! **Total magnetic moment**: 0.00 μB/f.u.

Entry 8:
! LiMn4Re PBE-GGA relaxed; values from VASP
&SYSTEM
  ibrav = 0, nat = 6, ntyp = 3
/
ATOMIC_SPECIES
Li 6.94 Li.upf
Mn 54.94 Mn.upf
Re 186.21 Re.upf
CELL_PARAMETERS angstrom
0.0000 3.2931 3.2931
3.2931 0.0000 3.2931
3.2931 3.2931 0.0000
ATOMIC_POSITIONS angstrom
Li 0.0000 0.0000 0.0000
Mn 4.1210 2.4652 2.4652
Mn 2.4652 4.1210 2.4652
Mn 2.4652 2.4652 4.1210
Mn 4.1210 4.1210 4.1210
Re 1.6466 1.6466 1.6466
! **DFT formation energy**: 0.1477 eV per atom
! **N(E_F)**: 6.87 states/eV/f.u.
! **Space-group type**: F-43m
! **Total magnetic moment**: 2.51 μB/f.u.

Which formula does entry 8 have?
LiMn4Re

Which of these has the highest total magnetic moment?
Pm4EuY

What is the N(E_F) in the fourth record?
6.16 states/eV/f.u.

What is the formula in the fourth record?
KBa2Zr